(1)
! YNbI2O GGA-PBE relaxed; values from VASP
&SYSTEM
  ibrav = 0, nat = 5, ntyp = 4
/
ATOMIC_SPECIES
I 126.90 I.upf
Y 88.91 Y.upf
Nb 92.91 Nb.upf
O 16.00 O.upf
CELL_PARAMETERS angstrom
-0.714 -5.129 2.683
3.966 1.536 3.991
-2.822 1.549 2.209
ATOMIC_POSITIONS crystal
I 0.000 0.500 0.000
I 0.500 0.000 0.000
Y 0.500 0.500 0.500
Nb 0.000 0.000 0.000
O 0.000 0.000 0.500
! **Space group**: P4/mmm, No. 123
! **Final energy**: -27.91 eV for the cell shown
! **E_form (uncorrected)**: -0.664 eV per atom
! **D(E_F)**: 4.67 states/eV/cell
! **Offset from the most stable computed form**: 0.0 meV per atom

(2)
! NbZnIO2 GGA-PBE relaxed; values from VASP
&SYSTEM
  ibrav = 0, nat = 5, ntyp = 4
/
ATOMIC_SPECIES
I 126.90 I.upf
Nb 92.91 Nb.upf
Zn 65.41 Zn.upf
O 16.00 O.upf
CELL_PARAMETERS angstrom
4.010 0.000 0.000
0.000 4.010 0.000
0.000 0.000 6.139
ATOMIC_POSITIONS crystal
I 0.000 0.000 0.500
Nb 0.000 0.000 0.000
Zn 0.500 0.500 0.500
O 0.000 0.500 0.000
O 0.500 0.000 0.000
! **Space group**: P4/mmm, No. 123
! **Final energy**: -28.22 eV for the cell shown
! **E_form (uncorrected)**: -1.082 eV per atom
! **D(E_F)**: 2.41 states/eV/cell
! **Offset from the most stable computed form**: 0.0 meV per atom